A geometry-optimized Cu2AuBr structure, computed with PBE-GGA.

Computed properties:
As for the space-group type: Imm2 (44). The calculation puts the offset from the most stable computed form at 0.572 eV per formula unit. As for the density: 8.51 g cm⁻³. The energy is -3.118 eV/atom.

a = 6.762 Å, b = 6.762 Å, c = 6.762 Å
α = 147.42°, β = 151.68°, γ = 43.71°
Fractional coordinates of all 4 atoms:
Au 0.496 0.496 0.000
Br 0.231 0.731 0.500
Cu 0.951 0.951 0.000
Cu 0.822 0.322 0.500

A geometry-optimized CuNiHPd2 structure, computed with PBE-GGA.

Computed properties:
As for the space-group type: P4/mmm (123). The calculation puts the offset from the most stable computed form at 0.000 eV per formula unit. As for the density: 9.82 g cm⁻³. The energy is -4.763 eV/atom.

a = 3.997 Å, b = 3.997 Å, c = 3.555 Å
α = 90.00°, β = 90.00°, γ = 90.00°
Last column: magnetic moment on the atom in μB.
Fractional coordinates of all 5 atoms:
Ni 0.000 0.000 0.500  0.41
Cu 0.500 0.500 0.500  0.01
Pd 0.000 0.500 0.000  0.10
Pd 0.500 0.000 0.000  0.10
H 0.000 0.000 0.000  0.00

A geometry-optimized LaDy3HoEr structure, computed with PBE-GGA.

Computed properties:
As for the space-group type: C2/m (12). As for the density: 8.08 g cm⁻³. The energy is -4.430 eV/atom.

a = 5.636 Å, b = 10.280 Å, c = 7.072 Å
α = 90.55°, β = 90.00°, γ = 105.91°
Fractional coordinates of all 12 atoms:
La 0.357 0.715 0.976
La 0.643 0.285 0.024
Dy 0.837 0.674 0.280
Dy 0.779 0.558 0.760
Dy 0.477 0.954 0.272
Dy 0.221 0.442 0.240
Dy 0.523 0.046 0.728
Dy 0.163 0.326 0.720
Ho 0.055 0.109 0.284
Ho 0.945 0.891 0.716
Er 0.650 0.301 0.454
Er 0.350 0.699 0.546

A geometry-optimized K2Sn2OF6 structure, computed with PBE-GGA.

Computed properties:
As for the space-group type: I4/m (87). As for the density: 3.51 g cm⁻³. The energy is -4.519 eV/atom.

a = 10.296 Å, b = 10.296 Å, c = 10.296 Å
α = 92.33°, β = 92.33°, γ = 156.74°
Last column: magnetic moment on the atom in μB.
Fractional coordinates of all 22 atoms:
K 0.338 0.642 0.981  0.00
K 0.662 0.358 0.019  0.00
K 0.358 0.338 0.696  0.00
K 0.642 0.662 0.304  0.00
Sn 0.964 0.348 0.312  0.00
Sn 0.036 0.652 0.688  0.00
Sn 0.652 0.964 0.616  0.00
Sn 0.348 0.036 0.384  0.00
O 0.000 0.000 0.000  0.95
O 0.500 0.500 0.000  0.77
F 0.757 0.061 0.818  0.00
F 0.243 0.939 0.182  0.00
F 0.939 0.757 0.697  0.00
F 0.061 0.243 0.303  0.00
F 0.459 0.797 0.256  0.00
F 0.541 0.203 0.744  0.00
F 0.203 0.459 0.662  0.00
F 0.797 0.541 0.338  0.00
F 0.843 0.271 0.114  0.00
F 0.157 0.729 0.886  0.00
F 0.729 0.843 0.573  0.00
F 0.271 0.157 0.427  0.00

What did the fourth record say?
A geometry-optimized K2Sn2OF6 structure, computed with PBE-GGA.

Computed properties:
As for the space-group type: I4/m (87). As for the density: 3.51 g cm⁻³. The energy is -4.519 eV/atom.

a = 10.296 Å, b = 10.296 Å, c = 10.296 Å
α = 92.33°, β = 92.33°, γ = 156.74°
Last column: magnetic moment on the atom in μB.
Fractional coordinates of all 22 atoms:
K 0.338 0.642 0.981  0.00
K 0.662 0.358 0.019  0.00
K 0.358 0.338 0.696  0.00
K 0.642 0.662 0.304  0.00
Sn 0.964 0.348 0.312  0.00
Sn 0.036 0.652 0.688  0.00
Sn 0.652 0.964 0.616  0.00
Sn 0.348 0.036 0.384  0.00
O 0.000 0.000 0.000  0.95
O 0.500 0.500 0.000  0.77
F 0.757 0.061 0.818  0.00
F 0.243 0.939 0.182  0.00
F 0.939 0.757 0.697  0.00
F 0.061 0.243 0.303  0.00
F 0.459 0.797 0.256  0.00
F 0.541 0.203 0.744  0.00
F 0.203 0.459 0.662  0.00
F 0.797 0.541 0.338  0.00
F 0.843 0.271 0.114  0.00
F 0.157 0.729 0.886  0.00
F 0.729 0.843 0.573  0.00
F 0.271 0.157 0.427  0.00

Question: Which of these has the lowest density?
Answer: K2Sn2OF6

Question: The highest density belongs to which entry?
Answer: CuNiHPd2